No. 1
Computed, not measured: a relaxed structure of Zr2HgSe at the PBE-GGA level of DFT.

Cell: 5.207 5.207 5.207 Å, 134.69 119.68 78.56°
Element x y z (fractional)
Zr: 0.226 0.226 0.000
Zr: 0.774 0.774 0.000
Hg: 0.500 0.000 0.500
Se: 0.000 0.500 0.500

Calculated values
uncorrected formation energy	-44.7	kJ per mole of atoms
polymorph energy (0 for the lowest one)	127.5	meV per atom

No. 2
Computed, not measured: a relaxed structure of TmHfO at the PBE-GGA level of DFT.

Cell: 6.932 3.505 5.064 Å, 90.00 90.00 90.00°
Element x y z (fractional)
Tm: 0.000 0.000 0.000
Tm: 0.500 0.000 0.000
Hf: 0.250 0.500 0.486
Hf: 0.750 0.500 0.514
O: 0.250 0.000 0.275
O: 0.750 0.000 0.725

Calculated values
uncorrected formation energy	-164.8	kJ per mole of atoms

No. 3
Computed, not measured: a relaxed structure of NaEr2PaO6 at the PBE-GGA level of DFT.

Cell: 6.111 6.111 6.111 Å, 57.21 57.21 57.21°
Element x y z (fractional)
Na: 0.000 0.000 0.000
Er: 0.272 0.272 0.272
Er: 0.780 0.780 0.780
Pa: 0.482 0.482 0.482
O: 0.093 0.636 0.425
O: 0.187 0.557 0.876
O: 0.425 0.093 0.636
O: 0.557 0.876 0.187
O: 0.636 0.425 0.093
O: 0.876 0.187 0.557

Calculated values
uncorrected formation energy	-319.1	kJ per mole of atoms